An optimized crystal structure of HfHWO2, computed with GGA+U.

a = 4.1976 Å, b = 4.1976 Å, c = 3.3552 Å
α = 90.00°, β = 90.00°, γ = 90.00°
With the nearest neighbours (Å) after each atom.
Space group P4/mmm (No. 123)
Inequivalent atoms, fractional coordinates:
Hf: 0.0000 0.0000 0.0000 x1  8 O 2.69, 4 H 2.97
H: 0.5000 0.5000 0.0000 x1  2 W 1.68
W: 0.5000 0.5000 0.5000 x1  2 H 1.68
O: 0.0000 0.5000 0.5000 x2  2 W 2.10

Summary:
* calculated total energy: -0.248 hartree per atom